[1]
# Tm2ScIn3PdAu2, optimized geometry, DFT PBE
data_Tm2ScIn3PdAu2
_chemical_formula_sum 'Tm2 Sc1 In3 Pd1 Au2'
_cell_length_a 3.727
_cell_length_b 7.749
_cell_length_c 7.749
_cell_angle_alpha 119.83
_cell_angle_beta 90.00
_cell_angle_gamma 90.00
_symmetry_space_group_name_H-M 'P 1'
_symmetry_Int_Tables_number 1
_symmetry_space_group_name_Hall 'P 1'
loop_
_atom_site_label
_atom_site_fract_x
_atom_site_fract_y
_atom_site_fract_z
Tm1 0.000 0.201 0.799
Tm2 0.000 0.799 0.201
Sc1 0.000 0.600 0.600
In1 0.500 0.205 0.463
In2 0.500 0.463 0.205
In3 0.500 0.936 0.936
Pd1 0.000 0.201 0.201
Au1 0.500 0.535 0.865
Au2 0.500 0.865 0.535
# SG: Amm2, No. 38

=====

[2]
# InPdAu3Se4, optimized geometry, DFT PBE
data_InPdAu3Se4
_chemical_formula_sum 'In1 Pd1 Au3 Se4'
_cell_length_a 6.137
_cell_length_b 6.137
_cell_length_c 6.137
_cell_angle_alpha 90.00
_cell_angle_beta 90.00
_cell_angle_gamma 90.00
_symmetry_space_group_name_H-M 'P 1'
_symmetry_Int_Tables_number 1
_symmetry_space_group_name_Hall 'P 1'
loop_
_atom_site_label
_atom_site_fract_x
_atom_site_fract_y
_atom_site_fract_z
In1 0.000 0.000 0.000
Pd1 0.500 0.500 0.500
Au1 0.000 0.500 0.500
Au2 0.500 0.000 0.500
Au3 0.500 0.500 0.000
Se1 0.254 0.254 0.254
Se2 0.254 0.746 0.746
Se3 0.746 0.254 0.746
Se4 0.746 0.746 0.254
# SG: P-43m, No. 215

=====

[3]
# InTePdAuSe2, optimized geometry, DFT PBE
data_InTePdAuSe2
_chemical_formula_sum 'In2 Te2 Pd2 Au2 Se4'
_cell_length_a 7.869
_cell_length_b 7.869
_cell_length_c 9.376
_cell_angle_alpha 90.00
_cell_angle_beta 90.00
_cell_angle_gamma 152.03
_symmetry_space_group_name_H-M 'P 1'
_symmetry_Int_Tables_number 1
_symmetry_space_group_name_Hall 'P 1'
loop_
_atom_site_label
_atom_site_fract_x
_atom_site_fract_y
_atom_site_fract_z
In1 0.209 0.791 0.750
In2 0.791 0.209 0.250
Te1 0.108 0.892 0.250
Te2 0.892 0.108 0.750
Pd1 0.000 0.000 0.000
Pd2 0.000 0.000 0.500
Au1 0.479 0.521 0.250
Au2 0.521 0.479 0.750
Se1 0.360 0.640 0.047
Se2 0.360 0.640 0.453
Se3 0.640 0.360 0.547
Se4 0.640 0.360 0.953
# SG: Cmcm, No. 63

=====

[4]
# Sm3In3Pd2Au, optimized geometry, DFT PBE
data_Sm3In3Pd2Au
_chemical_formula_sum 'Sm3 In3 Pd2 Au1'
_cell_length_a 7.785
_cell_length_b 7.785
_cell_length_c 4.018
_cell_angle_alpha 90.00
_cell_angle_beta 90.00
_cell_angle_gamma 120.00
_symmetry_space_group_name_H-M 'P 1'
_symmetry_Int_Tables_number 1
_symmetry_space_group_name_Hall 'P 1'
loop_
_atom_site_label
_atom_site_fract_x
_atom_site_fract_y
_atom_site_fract_z
Sm1 0.000 0.590 0.000
Sm2 0.410 0.410 0.000
Sm3 0.590 0.000 0.000
In1 0.000 0.263 0.500
In2 0.263 0.000 0.500
In3 0.737 0.737 0.500
Pd1 0.333 0.667 0.500
Pd2 0.667 0.333 0.500
Au1 0.000 0.000 0.000
# SG: P-62m, No. 189

=====

[5]
# Sm3In3PdAu2, optimized geometry, DFT PBE
data_Sm3In3PdAu2
_chemical_formula_sum 'Sm3 In3 Pd1 Au2'
_cell_length_a 7.816
_cell_length_b 7.816
_cell_length_c 4.037
_cell_angle_alpha 90.00
_cell_angle_beta 90.00
_cell_angle_gamma 120.00
_symmetry_space_group_name_H-M 'P 1'
_symmetry_Int_Tables_number 1
_symmetry_space_group_name_Hall 'P 1'
loop_
_atom_site_label
_atom_site_fract_x
_atom_site_fract_y
_atom_site_fract_z
Sm1 0.000 0.593 0.000
Sm2 0.407 0.407 0.000
Sm3 0.593 0.000 0.000
In1 0.000 0.251 0.500
In2 0.251 0.000 0.500
In3 0.749 0.749 0.500
Pd1 0.000 0.000 0.000
Au1 0.333 0.667 0.500
Au2 0.667 0.333 0.500
# SG: P-62m, No. 189

=====

[6]
# Tb3In3PdAu2, optimized geometry, DFT PBE
data_Tb3In3PdAu2
_chemical_formula_sum 'Tb3 In3 Pd1 Au2'
_cell_length_a 7.778
_cell_length_b 7.778
_cell_length_c 3.929
_cell_angle_alpha 90.00
_cell_angle_beta 90.00
_cell_angle_gamma 120.00
_symmetry_space_group_name_H-M 'P 1'
_symmetry_Int_Tables_number 1
_symmetry_space_group_name_Hall 'P 1'
loop_
_atom_site_label
_atom_site_fract_x
_atom_site_fract_y
_atom_site_fract_z
Tb1 0.000 0.594 0.000
Tb2 0.406 0.406 0.000
Tb3 0.594 0.000 0.000
In1 0.000 0.254 0.500
In2 0.254 0.000 0.500
In3 0.746 0.746 0.500
Pd1 0.000 0.000 0.000
Au1 0.333 0.667 0.500
Au2 0.667 0.333 0.500
# SG: P-62m, No. 189

=====

| no. | V (Å³/cell) | DFT total energy (eV/atom) |
| --- | --- | --- |
| 1 | 194.1 | -4.66 |
| 2 | 231.1 | -3.55 |
| 3 | 272.2 | -3.62 |
| 4 | 210.9 | -4.77 |
| 5 | 213.6 | -4.57 |
| 6 | 205.8 | -4.55 |